La2MnIn | PBE-GGA | optimized geometry

```
La2MnIn
1.0
3.7908 0.0000 0.0000
0.0000 3.8036 0.0000
0.0000 0.0000 7.9475
La Mn In
2 1 1
direct
0.0000 0.0000 0.2309
0.0000 0.0000 0.7691
0.5000 0.5000 0.0000
0.5000 0.5000 0.5000
```

Calculated density, g cm⁻³: 6.49
Electronic total energy, eV per atom: -5.52
SG: No. 47